(1)
Below is a geometry-optimized YAlS structure, with properties calculated at the GGA-PBE level. Values from VASP.

Results
* polymorph energy (0 for the lowest one): 0.03 kJ/mol of atoms
* total DFT energy (no corrections): -35.63 eV/cell
* formation energy without anion corrections: -112 kJ per mole of atoms
* symmetry: P4/nmm, No. 129

The structure in Quantum ESPRESSO input format:
```
&SYSTEM
  ibrav = 0, nat = 6, ntyp = 3
/
ATOMIC_SPECIES
Y 88.91 Y.upf
Al 26.98 Al.upf
S 32.06 S.upf
ATOMIC_POSITIONS angstrom
Y -4.1348 -0.7959 4.9800
Y -3.0987 -1.1331 0.7344
Al 0.0000 0.0000 0.0000
Al -0.1539 -2.6959 0.1765
S -5.3396 -0.8904 2.4873
S -1.8939 -1.0387 3.2271
CELL_PARAMETERS angstrom
-1.8239 -2.7399 -1.9523
1.5161 -2.6518 2.3053
-7.0796 0.7669 5.5379
```

(2)
Below is a geometry-optimized YAlS structure, with properties calculated at the GGA-PBE level. Values from VASP.

Results
* polymorph energy (0 for the lowest one): 8.52 kJ/mol of atoms
* total DFT energy (no corrections): -35.10 eV/cell
* formation energy without anion corrections: -103 kJ per mole of atoms
* symmetry: P2_1/m, No. 11

The structure in Quantum ESPRESSO input format:
```
&SYSTEM
  ibrav = 0, nat = 6, ntyp = 3
/
ATOMIC_SPECIES
Y 88.91 Y.upf
S 32.06 S.upf
Al 26.98 Al.upf
ATOMIC_POSITIONS angstrom
Y 3.4814 3.2667 1.7849
Y 0.8684 1.0889 4.2282
S 3.5542 1.0889 3.4878
S 0.7957 3.2667 2.5253
Al 0.7309 3.2667 0.1284
Al 3.6189 1.0889 5.8848
CELL_PARAMETERS angstrom
5.4656 0.0000 0.0017
0.0000 4.3556 0.0000
-1.1157 0.0000 6.0114
```

(3)
Below is a geometry-optimized Y2AlS4 structure, with properties calculated at the GGA-PBE level. Values from VASP.

Results
* total DFT energy (no corrections): -88.33 eV/cell
* formation energy without anion corrections: -151 kJ per mole of atoms
* symmetry: P2_1/m, No. 11

The structure in Quantum ESPRESSO input format:
```
&SYSTEM
  ibrav = 0, nat = 14, ntyp = 3
/
ATOMIC_SPECIES
Y 88.91 Y.upf
S 32.06 S.upf
Al 26.98 Al.upf
ATOMIC_POSITIONS angstrom
Y -0.2550 1.6424 6.6987
Y 0.7952 1.6424 3.1781
Y 4.5340 4.9272 0.4798
Y 3.4838 4.9272 4.0004
S 5.9765 1.6424 0.9067
S 2.6591 3.2760 1.8363
S 2.6591 0.0089 1.8363
S -1.6975 4.9272 6.2717
S -0.5615 4.9272 2.7328
S 1.6199 3.2937 5.3421
S 1.6199 6.5608 5.3421
S 4.8405 1.6424 4.4456
Al 1.1631 4.9272 1.3519
Al 3.1158 1.6424 5.8265
CELL_PARAMETERS angstrom
6.5373 0.0000 0.1289
0.0000 6.5696 0.0000
-2.2583 0.0000 7.0495
```

(4)
Below is a geometry-optimized YAlS3 structure, with properties calculated at the GGA-PBE level. Values from VASP.

Results
* total DFT energy (no corrections): -24.17 eV/cell
* formation energy without anion corrections: -30 kJ per mole of atoms
* symmetry: Pm-3m, No. 221

The structure in Quantum ESPRESSO input format:
```
&SYSTEM
  ibrav = 0, nat = 5, ntyp = 3
/
ATOMIC_SPECIES
Y 88.91 Y.upf
S 32.06 S.upf
Al 26.98 Al.upf
ATOMIC_POSITIONS angstrom
Y 0.0000 0.0000 0.0000
S 2.6340 0.0000 0.0000
S 0.0000 2.6340 0.0000
S 0.0000 0.0000 2.6340
Al 2.6340 2.6340 2.6340
CELL_PARAMETERS angstrom
5.2681 0.0000 0.0000
0.0000 5.2681 0.0000
0.0000 0.0000 5.2681
```